Entry from the Alexandria database: AuSe2Br at its PBEsol-relaxed geometry (SCAN).

abc: 3.790 4.367 6.210
angles: 110.90 90.00 90.00
Fractional positions:
Au 0.500 0.000 0.500
Se 0.000 0.759 0.656
Se 0.000 0.241 0.344
Br 0.500 0.500 0.000

## Properties
As for the symmetry: P2/m. Its raw formation energy is -12 kJ per mole of atoms. As for the crystal system: monoclinic. For the density of states at the Fermi level, the calculation gives 0.2 states/eV/f.u. For the calculated volume, the calculation gives 24.0 Å³/atom.

=====

Entry from the Alexandria database: Zr2InCl at its PBEsol-relaxed geometry (SCAN).

abc: 3.142 5.634 5.686
angles: 119.70 106.04 90.00
Fractional positions:
Zr 0.779 0.779 0.558
Zr 0.221 0.221 0.442
Cl 0.500 0.000 0.000
In 0.000 0.500 0.000

## Properties
As for the symmetry: Immm. Its raw formation energy is -45 kJ per mole of atoms. As for the crystal system: orthorhombic. For the density of states at the Fermi level, the calculation gives 3.7 states/eV/f.u. For the calculated volume, the calculation gives 20.7 Å³/atom. For the energy relative to the lowest polymorph listed for this composition, the calculation gives 165 meV per atom.

=====

Entry from the Alexandria database: YFe2Ir at its PBEsol-relaxed geometry (SCAN).

abc: 3.842 3.842 4.207
angles: 90.00 90.00 90.00
Fractional positions:
Fe 0.500 0.000 0.000
Fe 0.000 0.500 0.000
Ir 0.500 0.500 0.500
Y 0.000 0.000 0.500

## Properties
As for the symmetry: P4/mmm. The total energy comes out at -135.55 eV per cell. As for the crystal system: tetragonal. For the density of states at the Fermi level, the calculation gives 2.6 states/eV/f.u. For the calculated volume, the calculation gives 15.5 Å³/atom.

=====

Entry from the Alexandria database: LaHg2Au at its PBEsol-relaxed geometry (SCAN).

abc: 3.736 4.174 6.632
angles: 90.00 106.05 90.00
Fractional positions:
Hg 0.825 0.000 0.019
Hg 0.427 0.500 0.225
La 0.078 0.000 0.534
Au 0.670 0.500 0.723

## Properties
As for the symmetry: Pm. The total energy comes out at -250.90 eV per cell. As for the crystal system: monoclinic. For the density of states at the Fermi level, the calculation gives 2.1 states/eV/f.u. For the calculated volume, the calculation gives 24.8 Å³/atom.

=====

Entry from the Alexandria database: CaMn2Ag at its PBEsol-relaxed geometry (SCAN).

abc: 3.635 4.445 5.332
angles: 114.63 109.93 90.00
Fractional positions:
Mn 0.011 0.011 0.023
Mn 0.756 0.256 0.513
Ca 0.246 0.746 0.491
Ag 0.487 0.487 0.974

## Properties
As for the symmetry: Imm2. The total energy comes out at -76.87 eV per cell. As for the crystal system: orthorhombic. For the density of states at the Fermi level, the calculation gives 2.7 states/eV/f.u. For the calculated volume, the calculation gives 18.2 Å³/atom.

=====

Entry from the Alexandria database: PrZr3F15 at its PBEsol-relaxed geometry (SCAN).

abc: 6.167 7.390 7.390
angles: 112.58 106.15 106.15
Fractional positions:
F 0.318 0.000 0.236
F 0.863 0.223 0.000
F 0.858 0.455 0.785
F 0.863 0.000 0.223
F 0.404 0.661 0.000
F 0.073 0.215 0.670
F 0.082 0.764 0.764
F 0.073 0.670 0.215
F 0.404 0.000 0.661
F 0.318 0.236 0.000
F 0.640 0.777 0.777
F 0.858 0.785 0.455
F 0.403 0.330 0.545
F 0.403 0.545 0.330
F 0.743 0.339 0.339
Zr 0.145 0.000 0.431
Zr 0.145 0.431 0.000
Zr 0.714 0.569 0.569
Pr 0.506 0.000 0.000

## Properties
As for the symmetry: R3m. Its raw formation energy is -393 kJ per mole of atoms. As for the crystal system: trigonal. For the density of states at the Fermi level, the calculation gives 0.0 states/eV/f.u. For the calculated volume, the calculation gives 14.2 Å³/atom.

=====

Entry from the Alexandria database: ScCoTc2 at its PBEsol-relaxed geometry (SCAN).

abc: 4.300 4.300 4.300
angles: 60.00 60.00 60.00
Fractional positions:
Sc 0.000 0.000 0.000
Tc 0.750 0.750 0.750
Tc 0.250 0.250 0.250
Co 0.500 0.500 0.500

## Properties
As for the symmetry: Fm-3m. As for the crystal system: cubic. For the density of states at the Fermi level, the calculation gives 4.2 states/eV/f.u. For the calculated volume, the calculation gives 14.1 Å³/atom. For the energy relative to the lowest polymorph listed for this composition, the calculation gives 405 meV per atom.

=====

Entry from the Alexandria database: CaTlSiSb2 at its PBEsol-relaxed geometry (SCAN).

abc: 5.594 5.594 5.574
angles: 90.00 90.00 90.00
Fractional positions:
Sb 0.500 0.000 0.000
Sb 0.000 0.500 0.000
Si 0.500 0.500 0.500
Tl 0.000 0.000 0.500
Ca 0.000 0.000 0.000

## Properties
As for the symmetry: P4/mmm. Its raw formation energy is 95 kJ per mole of atoms. As for the crystal system: tetragonal. For the density of states at the Fermi level, the calculation gives 3.2 states/eV/f.u. For the calculated volume, the calculation gives 34.9 Å³/atom.

=====

Entry from the Alexandria database: KMn2Zn at its PBEsol-relaxed geometry (SCAN).

abc: 2.941 2.941 10.082
angles: 81.61 81.61 60.00
Fractional positions:
K 0.000 0.000 0.000
Zn 0.500 0.500 0.500
Mn 0.767 0.767 0.700
Mn 0.233 0.233 0.300

## Properties
As for the symmetry: R-3m. The total energy comes out at -56.51 eV per cell. As for the crystal system: trigonal. For the density of states at the Fermi level, the calculation gives 1.9 states/eV/f.u. For the calculated volume, the calculation gives 18.6 Å³/atom.

=====

Entry from the Alexandria database: BaYIr2 at its PBEsol-relaxed geometry (SCAN).

abc: 3.096 5.321 5.832
angles: 103.88 105.39 90.00
Fractional positions:
Y 0.535 0.589 0.070
Ba 0.729 0.204 0.457
Ir 0.957 0.981 0.914
Ir 0.279 0.726 0.558

## Properties
As for the symmetry: Cm. As for the crystal system: monoclinic. For the density of states at the Fermi level, the calculation gives 2.3 states/eV/f.u. For the calculated volume, the calculation gives 22.4 Å³/atom. For the energy relative to the lowest polymorph listed for this composition, the calculation gives 218 meV per atom.

=====

Entry from the Alexandria database: Li4P5HO15 at its PBEsol-relaxed geometry (SCAN).

abc: 6.604 7.258 11.409
angles: 72.69 83.47 85.59
Fractional positions:
O 0.464 0.732 0.951
O 0.007 0.288 0.708
O 0.780 0.077 0.523
O 0.055 0.313 0.490
O 0.567 0.834 0.383
O 0.142 0.401 0.119
O 0.220 0.923 0.477
O 0.692 0.436 0.430
O 0.934 0.232 0.316
O 0.858 0.599 0.881
O 0.884 0.168 0.124
O 0.243 0.505 0.843
O 0.757 0.495 0.157
O 0.680 0.911 0.097
O 0.536 0.268 0.049
O 0.066 0.768 0.684
O 0.629 0.392 0.745
O 0.116 0.832 0.876
O 0.269 0.954 0.250
O 0.993 0.712 0.292
O 0.577 0.812 0.666
O 0.320 0.089 0.903
O 0.423 0.188 0.334
O 0.945 0.687 0.510
O 0.731 0.046 0.750
O 0.834 0.164 0.915
O 0.371 0.608 0.255
O 0.308 0.564 0.570
O 0.433 0.166 0.617
O 0.166 0.836 0.085
Li 0.618 0.640 0.550
Li 0.382 0.360 0.450
Li 0.319 0.315 0.736
Li 0.681 0.685 0.264
Li 0.278 0.290 0.988
Li 0.428 0.397 0.177
Li 0.572 0.603 0.823
Li 0.722 0.710 0.012
P 0.797 0.240 0.774
P 0.203 0.760 0.226
P 0.710 0.123 0.050
P 0.070 0.654 0.829
P 0.858 0.282 0.439
P 0.391 0.978 0.360
P 0.290 0.877 0.950
P 0.142 0.718 0.561
P 0.930 0.346 0.171
P 0.609 0.022 0.640
H 0.034 0.302 0.591
H 0.966 0.698 0.409

## Properties
As for the symmetry: P-1. The total energy comes out at -437.54 eV per cell. As for the crystal system: triclinic. For the density of states at the Fermi level, the calculation gives 0.0 states/eV/f.u. For the calculated volume, the calculation gives 10.4 Å³/atom.

=====

Entry from the Alexandria database: BeNb2PtSe at its PBEsol-relaxed geometry (SCAN).

abc: 3.938 4.724 4.724
angles: 90.00 90.00 90.00
Fractional positions:
Be 0.500 0.000 0.000
Se 0.000 0.000 0.000
Nb 0.000 0.000 0.500
Nb 0.000 0.500 0.000
Pt 0.500 0.500 0.500

## Properties
As for the symmetry: P4/mmm. Its raw formation energy is 60 kJ per mole of atoms. As for the crystal system: tetragonal. For the density of states at the Fermi level, the calculation gives 5.3 states/eV/f.u. For the calculated volume, the calculation gives 17.6 Å³/atom.